1.
A relaxed Ti3SnRu crystal. Source: Alexandria via LeMat-Bulk, functional PBE.

Excess energy over the best structure of this formula in the dataset   0.0 meV/atom
Space group   Pm-3m, No. 221
Formation energy from the elements   0.165 eV per atom

Cell and atoms, written as CIF:
```
data_Ti3SnRu
_cell_length_a 4.7019
_cell_length_b 4.7019
_cell_length_c 4.7019
_cell_angle_alpha 90.00
_cell_angle_beta 90.00
_cell_angle_gamma 90.00
_space_group_name_H-M_alt 'P 1'
_space_group_IT_number 1
loop_
_space_group_symop_operation_xyz
'x,y,z'
loop_
_atom_site_label
_atom_site_type_symbol
_atom_site_fract_x
_atom_site_fract_y
_atom_site_fract_z
Ti1 Ti 0.0000 0.0000 0.5000
Ti2 Ti 0.0000 0.5000 0.0000
Ti3 Ti 0.5000 0.0000 0.0000
Sn1 Sn 0.5000 0.5000 0.5000
Ru1 Ru 0.0000 0.0000 0.0000
```



2.
A relaxed Ag2H3Pt2 crystal. Source: Alexandria via LeMat-Bulk, functional PBE.

Excess energy over the best structure of this formula in the dataset   19.5 meV/atom
Space group   P-1, No. 2

Cell and atoms, written as CIF:
```
data_Ag2H3Pt2
_cell_length_a 2.8797
_cell_length_b 5.2026
_cell_length_c 5.6468
_cell_angle_alpha 69.80
_cell_angle_beta 85.64
_cell_angle_gamma 88.98
_space_group_name_H-M_alt 'P 1'
_space_group_IT_number 1
loop_
_space_group_symop_operation_xyz
'x,y,z'
loop_
_atom_site_label
_atom_site_type_symbol
_atom_site_fract_x
_atom_site_fract_y
_atom_site_fract_z
Ag1 Ag 0.0615 0.0350 0.2311
Ag2 Ag 0.9385 0.9650 0.7689
H1 H 0.0000 0.5000 0.0000
H2 H 0.4636 0.2916 0.5522
H3 H 0.5364 0.7084 0.4478
Pt1 Pt 0.4773 0.4754 0.7649
Pt2 Pt 0.5227 0.5246 0.2351
```



3.
A relaxed CaAuS2N crystal. Source: Alexandria via LeMat-Bulk, functional PBE.

Excess energy over the best structure of this formula in the dataset   111.8 meV/atom
Uncorrected formation energy   0.27 eV/atom
Space group   P4/mmm, No. 123

Cell and atoms, written as CIF:
```
data_CaAuS2N
_cell_length_a 4.3601
_cell_length_b 4.3601
_cell_length_c 4.5150
_cell_angle_alpha 90.00
_cell_angle_beta 90.00
_cell_angle_gamma 90.00
_space_group_name_H-M_alt 'P 1'
_space_group_IT_number 1
loop_
_space_group_symop_operation_xyz
'x,y,z'
loop_
_atom_site_label
_atom_site_type_symbol
_atom_site_fract_x
_atom_site_fract_y
_atom_site_fract_z
Ca1 Ca 0.0000 0.0000 0.0000
Au1 Au 0.5000 0.5000 0.0000
S1 S 0.0000 0.5000 0.5000
S2 S 0.5000 0.0000 0.5000
N1 N 0.0000 0.0000 0.5000
```



4.
A relaxed K3NaCe3Se8 crystal. Source: Alexandria via LeMat-Bulk, functional PBE.

Uncorrected formation energy   -1.49 eV/atom
Space group   R-3m, No. 166

Cell and atoms, written as CIF:
```
data_K3NaCe3Se8
_cell_length_a 9.0840
_cell_length_b 9.0840
_cell_length_c 9.0840
_cell_angle_alpha 56.35
_cell_angle_beta 56.35
_cell_angle_gamma 56.35
_space_group_name_H-M_alt 'P 1'
_space_group_IT_number 1
loop_
_space_group_symop_operation_xyz
'x,y,z'
loop_
_atom_site_label
_atom_site_type_symbol
_atom_site_fract_x
_atom_site_fract_y
_atom_site_fract_z
K1 K 0.0000 0.5000 0.5000
K2 K 0.5000 0.0000 0.5000
K3 K 0.5000 0.5000 0.0000
Na1 Na 0.5000 0.5000 0.5000
Ce1 Ce 0.0000 0.0000 0.5000
Ce2 Ce 0.0000 0.5000 0.0000
Ce3 Ce 0.5000 0.0000 0.0000
Se1 Se 0.2114 0.7449 0.7449
Se2 Se 0.2363 0.2363 0.2363
Se3 Se 0.2551 0.2551 0.7886
Se4 Se 0.2551 0.7886 0.2551
Se5 Se 0.7449 0.2114 0.7449
Se6 Se 0.7449 0.7449 0.2114
Se7 Se 0.7637 0.7637 0.7637
Se8 Se 0.7886 0.2551 0.2551
```



5.
A relaxed Rb3Pm5F12 crystal. Source: Alexandria via LeMat-Bulk, functional PBE.

Uncorrected formation energy   -3.02 eV/atom
Space group   Ia-3d, No. 230

Cell and atoms, written as CIF:
```
data_Rb3Pm5F12
_cell_length_a 13.1904
_cell_length_b 13.1904
_cell_length_c 13.1904
_cell_angle_alpha 109.47
_cell_angle_beta 109.47
_cell_angle_gamma 109.47
_space_group_name_H-M_alt 'P 1'
_space_group_IT_number 1
loop_
_space_group_symop_operation_xyz
'x,y,z'
loop_
_atom_site_label
_atom_site_type_symbol
_atom_site_fract_x
_atom_site_fract_y
_atom_site_fract_z
Rb1 Rb 0.1250 0.2500 0.3750
Rb2 Rb 0.1250 0.3750 0.7500
Rb3 Rb 0.2500 0.3750 0.1250
Rb4 Rb 0.2500 0.8750 0.6250
Rb5 Rb 0.3750 0.1250 0.2500
Rb6 Rb 0.3750 0.7500 0.1250
Rb7 Rb 0.6250 0.2500 0.8750
Rb8 Rb 0.6250 0.8750 0.7500
Rb9 Rb 0.7500 0.1250 0.3750
Rb10 Rb 0.7500 0.6250 0.8750
Rb11 Rb 0.8750 0.6250 0.2500
Rb12 Rb 0.8750 0.7500 0.6250
Pm1 Pm 0.0000 0.0000 0.0000
Pm2 Pm 0.0000 0.0000 0.5000
Pm3 Pm 0.0000 0.5000 0.0000
Pm4 Pm 0.0000 0.5000 0.5000
Pm5 Pm 0.1250 0.7500 0.8750
Pm6 Pm 0.1250 0.8750 0.2500
Pm7 Pm 0.2500 0.1250 0.8750
Pm8 Pm 0.2500 0.6250 0.3750
Pm9 Pm 0.3750 0.2500 0.6250
Pm10 Pm 0.3750 0.6250 0.7500
Pm11 Pm 0.5000 0.0000 0.0000
Pm12 Pm 0.5000 0.0000 0.5000
Pm13 Pm 0.5000 0.5000 0.0000
Pm14 Pm 0.5000 0.5000 0.5000
Pm15 Pm 0.6250 0.3750 0.2500
Pm16 Pm 0.6250 0.7500 0.3750
Pm17 Pm 0.7500 0.3750 0.6250
Pm18 Pm 0.7500 0.8750 0.1250
Pm19 Pm 0.8750 0.1250 0.7500
Pm20 Pm 0.8750 0.2500 0.1250
F1 F 0.0246 0.1881 0.1361
F2 F 0.0246 0.3365 0.8885
F3 F 0.0520 0.6881 0.6635
F4 F 0.0520 0.8639 0.3885
F5 F 0.1115 0.6361 0.4480
F6 F 0.1115 0.9754 0.6635
F7 F 0.1361 0.0246 0.1881
F8 F 0.1361 0.6115 0.9480
F9 F 0.1635 0.1881 0.5520
F10 F 0.1635 0.4754 0.6115
F11 F 0.1881 0.1361 0.0246
F12 F 0.1881 0.5520 0.1635
F13 F 0.3119 0.3365 0.9480
F14 F 0.3119 0.4754 0.3639
F15 F 0.3365 0.8885 0.0246
F16 F 0.3365 0.9480 0.3119
F17 F 0.3639 0.3119 0.4754
F18 F 0.3639 0.5520 0.8885
F19 F 0.3885 0.0520 0.8639
F20 F 0.3885 0.8365 0.5246
F21 F 0.4480 0.1115 0.6361
F22 F 0.4480 0.8365 0.8119
F23 F 0.4754 0.3639 0.3119
F24 F 0.4754 0.6115 0.1635
F25 F 0.5246 0.3885 0.8365
F26 F 0.5246 0.6361 0.6881
F27 F 0.5520 0.1635 0.1881
F28 F 0.5520 0.8885 0.3639
F29 F 0.6115 0.1635 0.4754
F30 F 0.6115 0.9480 0.1361
F31 F 0.6361 0.4480 0.1115
F32 F 0.6361 0.6881 0.5246
F33 F 0.6635 0.0520 0.6881
F34 F 0.6635 0.1115 0.9754
F35 F 0.6881 0.5246 0.6361
F36 F 0.6881 0.6635 0.0520
F37 F 0.8119 0.4480 0.8365
F38 F 0.8119 0.8639 0.9754
F39 F 0.8365 0.5246 0.3885
F40 F 0.8365 0.8119 0.4480
F41 F 0.8639 0.3885 0.0520
F42 F 0.8639 0.9754 0.8119
F43 F 0.8885 0.0246 0.3365
F44 F 0.8885 0.3639 0.5520
F45 F 0.9480 0.1361 0.6115
F46 F 0.9480 0.3119 0.3365
F47 F 0.9754 0.6635 0.1115
F48 F 0.9754 0.8119 0.8639
```



6.
A relaxed Na10B13C7 crystal. Source: Alexandria via LeMat-Bulk, functional PBE.

Excess energy over the best structure of this formula in the dataset   7.4 meV/atom
Space group   Cm, No. 8
Formation energy from the elements   0.093 eV per atom

Cell and atoms, written as CIF:
```
data_Na10B13C7
_cell_length_a 9.0012
_cell_length_b 9.0012
_cell_length_c 13.2097
_cell_angle_alpha 113.27
_cell_angle_beta 113.27
_cell_angle_gamma 18.16
_space_group_name_H-M_alt 'P 1'
_space_group_IT_number 1
loop_
_space_group_symop_operation_xyz
'x,y,z'
loop_
_atom_site_label
_atom_site_type_symbol
_atom_site_fract_x
_atom_site_fract_y
_atom_site_fract_z
Na1 Na 0.0000 0.0000 0.0000
Na2 Na 0.9999 0.9999 0.4994
Na3 Na 0.1995 0.1995 0.3989
Na4 Na 0.2005 0.2005 0.8998
Na5 Na 0.3998 0.3998 0.2979
Na6 Na 0.4016 0.4016 0.7995
Na7 Na 0.5999 0.5999 0.1986
Na8 Na 0.6005 0.6005 0.7005
Na9 Na 0.8006 0.8006 0.0980
Na10 Na 0.8023 0.8023 0.5976
B1 B 0.0306 0.0306 0.3100
B2 B 0.1664 0.1664 0.0815
B3 B 0.2339 0.2339 0.7155
B4 B 0.3607 0.3607 0.4697
B5 B 0.3676 0.3676 0.9834
B6 B 0.4332 0.4332 0.6140
B7 B 0.4360 0.4360 0.1208
B8 B 0.5694 0.5694 0.3876
B9 B 0.5701 0.5701 0.8877
B10 B 0.6399 0.6399 0.5271
B11 B 0.7633 0.7633 0.2751
B12 B 0.8271 0.8271 0.9026
B13 B 0.9738 0.9738 0.6947
C1 C 0.0382 0.0382 0.8228
C2 C 0.1704 0.1704 0.5870
C3 C 0.2319 0.2319 0.2120
C4 C 0.6344 0.6344 0.0178
C5 C 0.7644 0.7644 0.7778
C6 C 0.8289 0.8289 0.4069
C7 C 0.9672 0.9672 0.1834
```



7.
A relaxed Er2Te2Br crystal. Source: Alexandria via LeMat-Bulk, functional PBE.

Uncorrected formation energy   -1.43 eV/atom
Space group   I4/mmm, No. 139

Cell and atoms, written as CIF:
```
data_Er2Te2Br
_cell_length_a 9.0954
_cell_length_b 9.0954
_cell_length_c 9.0954
_cell_angle_alpha 152.58
_cell_angle_beta 152.58
_cell_angle_gamma 39.17
_space_group_name_H-M_alt 'P 1'
_space_group_IT_number 1
loop_
_space_group_symop_operation_xyz
'x,y,z'
loop_
_atom_site_label
_atom_site_type_symbol
_atom_site_fract_x
_atom_site_fract_y
_atom_site_fract_z
Er1 Er 0.1622 0.1622 0.0000
Er2 Er 0.8378 0.8378 0.0000
Te1 Te 0.3424 0.3424 0.0000
Te2 Te 0.6576 0.6576 0.0000
Br1 Br 0.0000 0.0000 0.0000
```



8.
A relaxed Th2SnAs2N2 crystal. Source: Alexandria via LeMat-Bulk, functional PBE.

Uncorrected formation energy   -1.00 eV/atom
Space group   C2/m, No. 12

Cell and atoms, written as CIF:
```
data_Th2SnAs2N2
_cell_length_a 6.2830
_cell_length_b 6.2830
_cell_length_c 7.1695
_cell_angle_alpha 118.66
_cell_angle_beta 118.66
_cell_angle_gamma 36.91
_space_group_name_H-M_alt 'P 1'
_space_group_IT_number 1
loop_
_space_group_symop_operation_xyz
'x,y,z'
loop_
_atom_site_label
_atom_site_type_symbol
_atom_site_fract_x
_atom_site_fract_y
_atom_site_fract_z
Th1 Th 0.1919 0.1919 0.2491
Th2 Th 0.8081 0.8081 0.7509
Sn1 Sn 0.0000 0.0000 0.5000
As1 As 0.4439 0.4439 0.1834
As2 As 0.5561 0.5561 0.8166
N1 N 0.2063 0.2063 0.5898
N2 N 0.7937 0.7937 0.4102
```



9.
A relaxed NdSm2ThAs4 crystal. Source: Alexandria via LeMat-Bulk, functional PBE.

Space group   P2/m, No. 10
Formation energy from the elements   -1.517 eV per atom

Cell and atoms, written as CIF:
```
data_NdSm2ThAs4
_cell_length_a 7.3308
_cell_length_b 4.2442
_cell_length_c 7.3413
_cell_angle_alpha 90.00
_cell_angle_beta 109.46
_cell_angle_gamma 90.00
_space_group_name_H-M_alt 'P 1'
_space_group_IT_number 1
loop_
_space_group_symop_operation_xyz
'x,y,z'
loop_
_atom_site_label
_atom_site_type_symbol
_atom_site_fract_x
_atom_site_fract_y
_atom_site_fract_z
Nd1 Nd 0.0000 0.0000 0.0000
Sm1 Sm 0.5000 0.0000 0.5000
Sm2 Sm 0.5000 0.5000 0.0000
Th1 Th 0.0000 0.5000 0.5000
As1 As 0.2513 0.0000 0.7489
As2 As 0.2518 0.5000 0.2528
As3 As 0.7482 0.5000 0.7472
As4 As 0.7487 0.0000 0.2511
```



10.
A relaxed Pr3SmPt2 crystal. Source: Alexandria via LeMat-Bulk, functional PBE.

Space group   Pmc2_1, No. 26
Formation energy from the elements   -0.795 eV per atom

Cell and atoms, written as CIF:
```
data_Pr3SmPt2
_cell_length_a 4.9452
_cell_length_b 9.1970
_cell_length_c 7.4056
_cell_angle_alpha 90.00
_cell_angle_beta 90.00
_cell_angle_gamma 90.00
_space_group_name_H-M_alt 'P 1'
_space_group_IT_number 1
loop_
_space_group_symop_operation_xyz
'x,y,z'
loop_
_atom_site_label
_atom_site_type_symbol
_atom_site_fract_x
_atom_site_fract_y
_atom_site_fract_z
Pr1 Pr 0.0000 0.0854 0.0000
Pr2 Pr 0.0000 0.3401 0.3600
Pr3 Pr 0.0000 0.6599 0.8600
Pr4 Pr 0.0000 0.9146 0.5000
Pr5 Pr 0.5000 0.1637 0.6489
Pr6 Pr 0.5000 0.8363 0.1489
Sm1 Sm 0.5000 0.4144 0.0092
Sm2 Sm 0.5000 0.5856 0.5092
Pt1 Pt 0.0000 0.3408 0.7668
Pt2 Pt 0.0000 0.6592 0.2668
Pt3 Pt 0.5000 0.1643 0.2441
Pt4 Pt 0.5000 0.8357 0.7441
```



In μB per atom, the size of the total moment values for the records above are, in order, 0.112; 0.000; 0.006; 0.000; 0.024; 0.000; 0.000; 0.000; 0.000; 0.000.
In Å³ per atom, the V values for the records above are, in order, 20.8; 11.3; 17.2; 32.4; 22.1; 10.2; 31.9; 21.0; 26.9; 28.1.
In eV per atom, the E_tot values for the records above are, in order, -7.23; -3.92; -4.11; -4.85; -5.47; -5.39; -4.85; -7.39; -6.55; -5.99.